Record 1
Computed, not measured: a relaxed Pr2Y2Rh3 crystal at the PBE level of DFT.

Computed properties:
- Mass density: 6.9 g/cm³
- Energy relative to the elements: -590 meV/atom
- E above lowest polymorph: 74 meV/atom
- E: -6.95 eV per atom
- Volume: 186 Å³ per cell

a b c (Å): 4.429 6.074 7.525
angles (deg): 99.14 89.95 111.37
Atoms (fractional coordinates):
Pr  0.868  0.736  0.644
Pr  0.132  0.264  0.356
Y  0.638  0.275  0.929
Y  0.362  0.725  0.071
Rh  0.000  0.000  0.000
Rh  0.804  0.610  0.265
Rh  0.196  0.390  0.735

=====

Record 2
Computed, not measured: a relaxed Pr2YRh9 crystal at the PBE level of DFT.

Computed properties:
- Mass density: 9.9 g/cm³
- Energy relative to the elements: -496 meV/atom
- E: -7.35 eV per atom
- Volume: 217 Å³ per cell

a b c (Å): 5.305 5.305 9.426
angles (deg): 73.66 73.66 60.00
Atoms (fractional coordinates):
Pr  0.861  0.861  0.416
Pr  0.139  0.139  0.584
Y  0.000  0.000  0.000
Rh  0.667  0.667  0.998
Rh  0.333  0.333  0.002
Rh  0.500  0.500  0.500
Rh  0.420  0.420  0.242
Rh  0.918  0.420  0.242
Rh  0.420  0.918  0.242
Rh  0.580  0.580  0.758
Rh  0.580  0.082  0.758
Rh  0.082  0.580  0.758

=====

Record 3
Computed, not measured: a relaxed PrYRh crystal at the PBE level of DFT.

Computed properties:
- Mass density: 6.9 g/cm³
- Energy relative to the elements: -458 meV/atom
- E above lowest polymorph: 34 meV/atom
- E: -6.66 eV per atom
- Volume: 81 Å³ per cell

a b c (Å): 3.530 3.530 6.926
angles (deg): 104.76 104.76 90.00
Atoms (fractional coordinates):
Pr  0.033  0.033  0.067
Y  0.293  0.293  0.586
Rh  0.673  0.673  0.347

=====

Record 4
Computed, not measured: a relaxed PrY3Rh crystal at the PBE level of DFT.

Computed properties:
- Mass density: 5.4 g/cm³
- Energy relative to the elements: -289 meV/atom
- E above lowest polymorph: 0 meV/atom
- E: -6.59 eV per atom
- Volume: 315 Å³ per cell

a b c (Å): 6.247 6.579 7.653
angles (deg): 90.00 90.00 90.00
Atoms (fractional coordinates):
Pr  0.433  0.323  0.701
Pr  0.933  0.030  0.201
Y  0.417  0.331  0.201
Y  0.427  0.857  0.952
Y  0.927  0.496  0.452
Y  0.917  0.022  0.701
Y  0.927  0.496  0.949
Y  0.427  0.857  0.449
Rh  0.175  0.683  0.701
Rh  0.675  0.670  0.201

=====

Record 5
Computed, not measured: a relaxed PrYRh crystal at the PBE level of DFT.

Computed properties:
- Mass density: 6.0 g/cm³
- Energy relative to the elements: -448 meV/atom
- E above lowest polymorph: 44 meV/atom
- E: -6.65 eV per atom
- Volume: 92 Å³ per cell

a b c (Å): 6.338 4.096 4.096
angles (deg): 120.00 90.00 90.00
Atoms (fractional coordinates):
Pr  0.758  0.667  0.333
Y  0.235  0.333  0.667
Rh  0.007  0.000  0.000

=====

Record 6
Computed, not measured: a relaxed PrYRh crystal at the PBE level of DFT.

Computed properties:
- Mass density: 6.3 g/cm³
- Energy relative to the elements: -468 meV/atom
- E above lowest polymorph: 25 meV/atom
- E: -6.67 eV per atom
- Volume: 350 Å³ per cell

a b c (Å): 6.186 6.937 8.166
angles (deg): 92.73 90.00 90.00
Atoms (fractional coordinates):
Pr  0.373  0.206  0.885
Pr  0.627  0.794  0.115
Pr  0.873  0.294  0.615
Pr  0.127  0.706  0.385
Y  0.886  0.292  0.134
Y  0.614  0.792  0.634
Y  0.114  0.708  0.866
Y  0.386  0.208  0.366
Rh  0.323  0.473  0.630
Rh  0.677  0.527  0.370
Rh  0.177  0.973  0.130
Rh  0.823  0.027  0.870

=====

Record 7
Computed, not measured: a relaxed Pr2Y2Rh3 crystal at the PBE level of DFT.

Computed properties:
- Mass density: 7.5 g/cm³
- Energy relative to the elements: -664 meV/atom
- E above lowest polymorph: 0 meV/atom
- E: -7.03 eV per atom
- Volume: 339 Å³ per cell

a b c (Å): 7.606 7.606 7.606
angles (deg): 109.47 109.47 109.47
Atoms (fractional coordinates):
Pr  0.500  0.375  0.500
Pr  0.000  0.000  0.375
Pr  0.625  0.125  0.125
Pr  0.875  0.500  0.000
Y  0.000  0.000  0.887
Y  0.500  0.887  0.500
Y  0.113  0.613  0.613
Y  0.387  0.500  0.000
Rh  0.750  0.660  0.410
Rh  0.250  0.840  0.090
Rh  0.590  0.750  0.840
Rh  0.910  0.250  0.660
Rh  0.340  0.090  0.750
Rh  0.160  0.410  0.250

=====

Record 8
Computed, not measured: a relaxed PrY4Rh5 crystal at the PBE level of DFT.

Computed properties:
- Mass density: 8.1 g/cm³
- Energy relative to the elements: -779 meV/atom
- E: -7.52 eV per atom
- Volume: 208 Å³ per cell

a b c (Å): 3.428 3.428 17.689
angles (deg): 90.00 90.00 90.00
Atoms (fractional coordinates):
Pr  0.000  0.000  0.000
Y  0.000  0.000  0.204
Y  0.000  0.000  0.402
Y  0.000  0.000  0.598
Y  0.000  0.000  0.796
Rh  0.500  0.500  0.108
Rh  0.500  0.500  0.303
Rh  0.500  0.500  0.500
Rh  0.500  0.500  0.697
Rh  0.500  0.500  0.892

=====

- What is the formula in the third record?
  PrYRh

=====

Copy entry 7 word for word.
Computed, not measured: a relaxed Pr2Y2Rh3 crystal at the PBE level of DFT.

Computed properties:
- Mass density: 7.5 g/cm³
- Energy relative to the elements: -664 meV/atom
- E above lowest polymorph: 0 meV/atom
- E: -7.03 eV per atom
- Volume: 339 Å³ per cell

a b c (Å): 7.606 7.606 7.606
angles (deg): 109.47 109.47 109.47
Atoms (fractional coordinates):
Pr  0.500  0.375  0.500
Pr  0.000  0.000  0.375
Pr  0.625  0.125  0.125
Pr  0.875  0.500  0.000
Y  0.000  0.000  0.887
Y  0.500  0.887  0.500
Y  0.113  0.613  0.613
Y  0.387  0.500  0.000
Rh  0.750  0.660  0.410
Rh  0.250  0.840  0.090
Rh  0.590  0.750  0.840
Rh  0.910  0.250  0.660
Rh  0.340  0.090  0.750
Rh  0.160  0.410  0.250